Entry from Alexandria via LeMat-Bulk: an optimized crystal structure of IrW (PBE).

Unit cell a=2.7818 b=2.7818 c=9.2065 alpha=90.00 beta=90.00 gamma=120.00
Space group P-3m1 (No. 164)
Asymmetric unit:
Ir 0.3333 0.6667 0.3719 (multiplicity 2)
W 0.3333 0.6667 0.8643 (multiplicity 2)

Results
As for the total DFT energy (no corrections): -10.953 eV/atom. The value obtained for the energy above the most stable polymorph in this dataset is 49 kJ/mol of formula units. The calculation puts the formation energy at -46 meV per atom. Its crystal system is trigonal. The total magnetization is 0.00 Bohr magnetons per cell.


Entry from Alexandria via LeMat-Bulk: an optimized crystal structure of CrCuAg4 (PBE).

Unit cell a=7.6520 b=7.6520 c=7.6520 alpha=90.00 beta=90.00 gamma=90.00
Space group F-43m (No. 216)
Asymmetric unit:
Cr 0.0000 0.0000 0.0000 (multiplicity 4)
Cu 0.2500 0.2500 0.7500 (multiplicity 4)
Ag 0.1249 0.1249 0.3751 (multiplicity 16)

Results
As for the total DFT energy (no corrections): -3.732 eV/atom. The calculation puts the formation energy at 455 meV per atom. Its crystal system is cubic. The total magnetization is 18.55 Bohr magnetons per cell.


Entry from Alexandria via LeMat-Bulk: an optimized crystal structure of Ca4InAg (PBE).

Unit cell a=9.4904 b=14.3970 c=6.2001 alpha=90.00 beta=112.58 gamma=90.00
Space group C2/c (No. 15)
Asymmetric unit:
Ca 0.1204 0.1778 0.0718 (multiplicity 8)
Ca 0.2003 0.4283 0.3280 (multiplicity 8)
In 0.0000 0.3694 0.7500 (multiplicity 4)
Ag 0.0000 0.0008 0.2500 (multiplicity 4)

Results
As for the total DFT energy (no corrections): -2.535 eV/atom. The value obtained for the energy above the most stable polymorph in this dataset is 2 kJ/mol of formula units. The calculation puts the formation energy at -269 meV per atom. Its crystal system is monoclinic. The total magnetization is 0.00 Bohr magnetons per cell.


Entry from Alexandria via LeMat-Bulk: an optimized crystal structure of KBe2Rh2 (PBE).

Unit cell a=4.0262 b=4.0262 c=9.9376 alpha=90.00 beta=90.00 gamma=90.00
Space group I4/mmm (No. 139)
Asymmetric unit:
K 0.0000 0.0000 0.0000 (multiplicity 2)
Be 0.0000 0.5000 0.2500 (multiplicity 4)
Rh 0.0000 0.0000 0.3555 (multiplicity 4)

Results
As for the total DFT energy (no corrections): -4.483 eV/atom. The value obtained for the energy above the most stable polymorph in this dataset is 14 kJ/mol of formula units. The calculation puts the formation energy at 168 meV per atom. Its crystal system is tetragonal. The total magnetization is 0.00 Bohr magnetons per cell.


Entry from Alexandria via LeMat-Bulk: an optimized crystal structure of Pm6HgIr2 (PBE).

Unit cell a=9.5402 b=9.9429 c=10.6545 alpha=90.00 beta=90.00 gamma=90.00
Space group Immm (No. 71)
Asymmetric unit:
Pm 0.0000 0.2017 0.2356 (multiplicity 8)
Pm 0.1919 0.5000 0.1696 (multiplicity 8)
Pm 0.2138 0.3206 0.5000 (multiplicity 8)
Hg 0.0000 0.0000 0.0000 (multiplicity 2)
Hg 0.0000 0.0000 0.5000 (multiplicity 2)
Ir 0.0000 0.3359 0.0000 (multiplicity 4)
Ir 0.0000 0.5000 0.3701 (multiplicity 4)

Results
As for the total DFT energy (no corrections): -5.670 eV/atom. The calculation puts the formation energy at -500 meV per atom. Its crystal system is orthorhombic. The total magnetization is 0.00 Bohr magnetons per cell.


Entry from Alexandria via LeMat-Bulk: an optimized crystal structure of AlPRh2 (PBE).

Unit cell a=2.9411 b=2.9411 c=23.1841 alpha=90.00 beta=90.00 gamma=120.00
Space group R3m (No. 160, hexagonal axes)
Asymmetric unit:
Al 0.0000 0.0000 0.0000 (multiplicity 3)
P 0.0000 0.0000 0.2460 (multiplicity 3)
Rh 0.0000 0.0000 0.5105 (multiplicity 3)
Rh 0.0000 0.0000 0.7441 (multiplicity 3)

Results
As for the total DFT energy (no corrections): -6.301 eV/atom. The value obtained for the energy above the most stable polymorph in this dataset is 128 kJ/mol of formula units. The calculation puts the formation energy at -337 meV per atom. Its crystal system is trigonal. The total magnetization is 0.00 Bohr magnetons per cell.


Entry from Alexandria via LeMat-Bulk: an optimized crystal structure of Pr2GaSb (PBE).

Unit cell a=5.0587 b=5.0587 c=4.3281 alpha=90.00 beta=90.00 gamma=90.00
Space group P4/mmm (No. 123)
Asymmetric unit:
Pr 0.0000 0.5000 0.0000 (multiplicity 2)
Ga 0.0000 0.0000 0.5000 (multiplicity 1)
Sb 0.5000 0.5000 0.5000 (multiplicity 1)

Results
The uncorrected formation energy comes out at -269 kJ/mol of formula units. As for the total DFT energy (no corrections): -4.874 eV/atom. The value obtained for the energy above the most stable polymorph in this dataset is 59 kJ/mol of formula units. Its crystal system is tetragonal. The total magnetization is 0.00 Bohr magnetons per cell.


Entry from Alexandria via LeMat-Bulk: an optimized crystal structure of Ca2HgOF (PBE).

Unit cell a=4.5051 b=4.5051 c=5.3757 alpha=90.00 beta=90.00 gamma=90.00
Space group P4/mmm (No. 123)
Asymmetric unit:
Ca 0.0000 0.5000 0.0000 (multiplicity 2)
Hg 0.0000 0.0000 0.5000 (multiplicity 1)
O 0.5000 0.5000 0.0000 (multiplicity 1)
F 0.5000 0.5000 0.5000 (multiplicity 1)

Results
The uncorrected formation energy comes out at -766 kJ/mol of formula units. As for the total DFT energy (no corrections): -3.814 eV/atom. Its crystal system is tetragonal. The total magnetization is 0.00 Bohr magnetons per cell.


Entry from Alexandria via LeMat-Bulk: an optimized crystal structure of Nd2Dy3NpN6 (PBE).

Unit cell a=6.1058 b=10.5736 c=6.0757 alpha=90.00 beta=109.54 gamma=90.00
Space group C2/m (No. 12)
Asymmetric unit:
Nd 0.0000 0.1668 0.0000 (multiplicity 4)
Dy 0.0000 0.0000 0.5000 (multiplicity 2)
Dy 0.0000 0.3339 0.5000 (multiplicity 4)
Np 0.0000 0.5000 0.0000 (multiplicity 2)
N 0.2248 0.5000 0.7537 (multiplicity 4)
N 0.2383 0.3454 0.2504 (multiplicity 8)

Results
The uncorrected formation energy comes out at -1724 kJ/mol of formula units. As for the total DFT energy (no corrections): -8.676 eV/atom. Its crystal system is monoclinic. The total magnetization is 5.28 Bohr magnetons per cell.


Entry from Alexandria via LeMat-Bulk: an optimized crystal structure of La4Pr2DyTh (PBE).

Unit cell a=5.2052 b=5.2227 c=10.3931 alpha=90.00 beta=90.00 gamma=90.00
Space group Pmmm (No. 47)
Asymmetric unit:
La 0.0000 0.0000 0.2459 (multiplicity 2)
La 0.5000 0.5000 0.2464 (multiplicity 2)
Pr 0.0000 0.5000 0.0000 (multiplicity 1)
Pr 0.5000 0.0000 0.5000 (multiplicity 1)
Dy 0.0000 0.5000 0.5000 (multiplicity 1)
Th 0.5000 0.0000 0.0000 (multiplicity 1)

Results
As for the total DFT energy (no corrections): -5.123 eV/atom. The calculation puts the formation energy at 38 meV per atom. Its crystal system is orthorhombic. The total magnetization is 0.00 Bohr magnetons per cell.


Entry from Alexandria via LeMat-Bulk: an optimized crystal structure of KMg2InAu4 (PBE).

Unit cell a=4.6298 b=4.6298 c=30.7737 alpha=90.00 beta=90.00 gamma=120.00
Space group R-3m (No. 166, hexagonal axes)
Asymmetric unit:
K 0.0000 0.0000 0.0000 (multiplicity 3)
Mg 0.0000 0.0000 0.2362 (multiplicity 6)
In 0.0000 0.0000 0.5000 (multiplicity 3)
Au 0.0000 0.0000 0.1265 (multiplicity 6)
Au 0.0000 0.0000 0.4072 (multiplicity 6)

Results
As for the total DFT energy (no corrections): -2.854 eV/atom. The calculation puts the formation energy at -337 meV per atom. Its crystal system is trigonal. The total magnetization is 0.00 Bohr magnetons per cell.


Entry from Alexandria via LeMat-Bulk: an optimized crystal structure of CaTbSnBi (PBE).

Unit cell a=7.7868 b=7.7868 c=7.7868 alpha=90.00 beta=90.00 gamma=90.00
Space group F-43m (No. 216)
Asymmetric unit:
Ca 0.0000 0.0000 0.0000 (multiplicity 4)
Tb 0.0000 0.0000 0.5000 (multiplicity 4)
Sn 0.2500 0.2500 0.7500 (multiplicity 4)
Bi 0.2500 0.2500 0.2500 (multiplicity 4)

Results
As for the total DFT energy (no corrections): -4.183 eV/atom. The calculation puts the formation energy at -554 meV per atom. Its crystal system is cubic. The total magnetization is 0.00 Bohr magnetons per cell.